Record 1
This record from Alexandria describes a geometry-optimized NaIn2Si structure. The functional is PBE.

```
NaIn2Si
1.0
4.313 0.000 0.000
2.156 3.735 0.000
2.156 1.245 6.844
Si In Na
1 2 1
Direct
0.000 0.000 0.000
0.272 0.272 0.184
0.728 0.728 0.816
0.500 0.500 0.500
```

Output
ΔE_f (raw): 0.1215 eV/atom
magnetic moment: 0.00 μB per formula unit
crystal system: trigonal
calculated volume: 27.56 Å³ per atom

***

Record 2
This record from Alexandria describes a geometry-optimized NaInSi structure. The functional is PBE.

```
NaInSi
1.0
3.667 -0.062 0.237
-1.746 5.697 0.012
3.131 -2.365 7.490
Na Si In
2 2 2
Direct
0.818 0.031 0.300
0.875 0.632 0.542
0.046 0.701 0.907
0.648 0.961 0.935
0.662 0.435 0.158
0.033 0.227 0.684
```

Output
ΔE_f (raw): 0.0280 eV/atom
magnetic moment: 0.00 μB per formula unit
crystal system: triclinic
calculated volume: 25.42 Å³ per atom

***

Record 3
This record from Alexandria describes a geometry-optimized NaInSi structure. The functional is PBE.

```
NaInSi
1.0
-1.648 -7.042 2.640
3.409 -1.658 -2.295
2.796 0.710 3.639
Na Si In
2 2 2
Direct
0.500 0.500 0.500
0.000 0.000 0.500
0.149 0.500 0.000
0.851 0.500 0.000
0.681 0.000 0.000
0.319 0.000 0.000
```

Output
ΔE_f (raw): 0.0661 eV/atom
magnetic moment: 0.00 μB per formula unit
crystal system: orthorhombic
calculated volume: 26.41 Å³ per atom

***

Record 4
This record from Alexandria describes a geometry-optimized NaInSi structure. The functional is PBE.

```
NaInSi
1.0
-3.982 5.641 5.394
-4.607 1.542 7.291
-0.665 3.754 7.889
Na Si In
2 2 2
Direct
0.629 0.629 0.629
0.371 0.371 0.371
0.760 0.760 0.760
0.240 0.240 0.240
0.124 0.124 0.124
0.876 0.876 0.876
```

Output
ΔE_f (raw): 0.0715 eV/atom
magnetic moment: 0.00 μB per formula unit
crystal system: trigonal
calculated volume: 25.08 Å³ per atom

***

Record 5
This record from Alexandria describes a geometry-optimized NaInSi structure. The functional is PBE.

```
NaInSi
1.0
4.811 -2.778 0.000
0.000 5.556 0.000
0.000 0.000 9.817
Si Na In
2 2 2
Direct
0.000 0.000 0.500
0.000 0.000 0.000
0.667 0.333 0.750
0.333 0.667 0.250
0.000 0.000 0.250
0.000 0.000 0.750
```

Output
ΔE_f (raw): 0.7740 eV/atom
magnetic moment: 0.00 μB per formula unit
crystal system: hexagonal
calculated volume: 43.74 Å³ per atom

***

Record 6
This record from Alexandria describes a geometry-optimized Na2InSi structure. The functional is PBE.

```
Na2InSi
1.0
-5.028 -0.125 0.828
-2.900 3.977 -1.324
-3.221 -0.392 -3.930
Na Si In
2 1 1
Direct
0.750 0.750 0.750
0.250 0.250 0.250
0.000 0.000 0.000
0.500 0.500 0.500
```

Output
ΔE_f (raw): 0.2022 eV/atom
magnetic moment: 0.00 μB per formula unit
crystal system: cubic
calculated volume: 23.41 Å³ per atom

***

Record 7
This record from Alexandria describes a geometry-optimized NaInSi structure. The functional is PBE.

```
NaInSi
1.0
10.392 0.000 -0.243
3.942 1.883 -3.832
-3.942 1.883 3.832
In Na Si
2 2 2
Direct
0.445 0.065 0.935
0.591 0.677 0.323
0.810 0.244 0.756
0.204 0.537 0.463
0.006 0.372 0.628
0.161 0.853 0.147
```

Output
ΔE_f (raw): 0.0532 eV/atom
magnetic moment: 0.00 μB per formula unit
crystal system: monoclinic
calculated volume: 24.39 Å³ per atom

***

Record 8
This record from Alexandria describes a geometry-optimized NaInSi structure. The functional is PBE.

```
NaInSi
1.0
-4.018 -4.837 0.539
1.531 -3.584 4.964
-2.639 2.483 2.606
In Si Na
2 2 2
Direct
0.500 0.500 0.500
0.000 0.000 0.500
0.750 0.250 0.075
0.250 0.750 0.925
0.750 0.750 0.000
0.250 0.250 0.000
```

Output
ΔE_f (raw): 0.2102 eV/atom
magnetic moment: 0.00 μB per formula unit
crystal system: orthorhombic
calculated volume: 27.78 Å³ per atom

***

Record 9
This record from Alexandria describes a geometry-optimized NaInSi structure. The functional is PBE.

```
NaInSi
1.0
-5.188 4.636 10.151
5.190 -3.791 4.384
4.032 0.245 -4.561
In Si Na
4 4 4
Direct
0.949 0.405 0.205
0.551 0.905 0.295
0.051 0.595 0.795
0.449 0.095 0.705
0.663 0.570 0.381
0.163 0.930 0.881
0.337 0.430 0.619
0.837 0.070 0.119
0.914 0.208 0.712
0.414 0.292 0.212
0.086 0.792 0.288
0.586 0.708 0.788
```

Output
ΔE_f (raw): 0.0192 eV/atom
magnetic moment: 0.00 μB per formula unit
crystal system: monoclinic
calculated volume: 22.98 Å³ per atom

***

Record 10
This record from Alexandria describes a geometry-optimized NaInSi structure. The functional is PBE.

```
NaInSi
1.0
2.507 -7.604 0.000
2.507 7.604 0.000
0.000 0.000 3.698
Na Si In
2 2 2
Direct
0.412 0.588 0.750
0.588 0.412 0.250
0.952 0.048 0.250
0.048 0.952 0.750
0.217 0.783 0.250
0.783 0.217 0.750
```

Output
ΔE_f (raw): 0.0794 eV/atom
magnetic moment: 0.00 μB per formula unit
crystal system: orthorhombic
calculated volume: 23.50 Å³ per atom

***

Record 11
This record from Alexandria describes a geometry-optimized Na3InSi structure. The functional is PBE.

```
Na3InSi
1.0
5.565 0.000 0.000
0.000 5.565 0.000
0.000 0.000 5.565
Si Na In
1 3 1
Direct
0.000 0.000 0.000
0.000 0.000 0.500
0.000 0.500 0.000
0.500 0.000 0.000
0.500 0.500 0.500
```

Output
ΔE_f (raw): 0.3371 eV/atom
magnetic moment: 0.00 μB per formula unit
crystal system: cubic
calculated volume: 34.46 Å³ per atom

***

Record 12
This record from Alexandria describes a geometry-optimized NaInSi2 structure. The functional is PBE.

```
NaInSi2
1.0
4.335 0.000 0.000
0.000 4.335 0.000
2.167 2.167 9.898
Na In Si
2 2 4
Direct
0.500 0.500 0.000
0.250 0.750 0.500
0.000 0.000 0.000
0.750 0.250 0.500
0.035 0.625 0.250
0.715 0.125 0.250
0.875 0.965 0.750
0.375 0.285 0.750
```

Output
ΔE_f (raw): 0.4353 eV/atom
magnetic moment: 0.00 μB per formula unit
crystal system: tetragonal
calculated volume: 23.25 Å³ per atom

***

Record 13
This record from Alexandria describes a geometry-optimized NaInSi structure. The functional is PBE.

```
NaInSi
1.0
2.016 -5.470 0.000
2.016 5.470 0.000
0.000 0.000 6.844
Na In Si
2 2 2
Direct
0.209 0.791 0.250
0.791 0.209 0.750
0.500 0.500 0.500
0.500 0.500 0.000
0.081 0.919 0.750
0.919 0.081 0.250
```

Output
ΔE_f (raw): 0.1671 eV/atom
magnetic moment: 0.00 μB per formula unit
crystal system: orthorhombic
calculated volume: 25.16 Å³ per atom

***

Record 14
This record from Alexandria describes a geometry-optimized NaInSi structure. The functional is PBE.

```
NaInSi
1.0
-6.320 -0.857 4.387
-1.280 -3.603 -2.548
3.999 -4.829 4.818
Na In Si
4 4 4
Direct
0.487 0.750 0.325
0.987 0.750 0.175
0.013 0.250 0.825
0.513 0.250 0.675
0.663 0.250 0.088
0.837 0.750 0.588
0.337 0.750 0.912
0.163 0.250 0.412
0.698 0.750 0.903
0.802 0.250 0.403
0.302 0.250 0.097
0.198 0.750 0.597
```

Output
ΔE_f (raw): 0.0069 eV/atom
magnetic moment: 0.00 μB per formula unit
crystal system: orthorhombic
calculated volume: 23.44 Å³ per atom

***

Record 15
This record from Alexandria describes a geometry-optimized Na2In2Si structure. The functional is PBE.

```
Na2In2Si
1.0
7.174 0.000 0.000
0.000 7.174 0.000
0.000 0.000 5.186
Si Na In
2 4 4
Direct
0.000 0.000 0.000
0.500 0.500 0.000
0.671 0.829 0.500
0.171 0.671 0.500
0.829 0.329 0.500
0.329 0.171 0.500
0.356 0.856 0.000
0.856 0.644 0.000
0.644 0.144 0.000
0.144 0.356 0.000
```

Output
ΔE_f (raw): 0.0775 eV/atom
magnetic moment: 0.00 μB per formula unit
crystal system: tetragonal
calculated volume: 26.69 Å³ per atom

***

Record 16
This record from Alexandria describes a geometry-optimized NaInSi structure. The functional is PBE.

```
NaInSi
1.0
-10.581 10.769 -6.432
-6.814 2.826 -3.853
3.190 -5.451 5.420
Si In Na
2 2 2
Direct
0.750 0.208 0.792
0.250 0.792 0.208
0.249 0.966 0.034
0.751 0.034 0.966
0.749 0.840 0.160
0.251 0.160 0.840
```

Output
ΔE_f (raw): -0.0114 eV/atom
magnetic moment: 0.00 μB per formula unit
crystal system: monoclinic
calculated volume: 24.10 Å³ per atom

***

Record 17
This record from Alexandria describes a geometry-optimized NaInSi structure. The functional is PBE.

```
NaInSi
1.0
-0.767 3.422 -3.508
-1.964 1.717 4.219
5.842 2.892 1.543
Si In Na
2 2 2
Direct
0.252 0.748 0.750
0.748 0.252 0.250
0.500 0.500 0.500
0.500 0.500 0.000
0.870 0.130 0.750
0.130 0.870 0.250
```

Output
ΔE_f (raw): 0.2485 eV/atom
magnetic moment: 0.00 μB per formula unit
crystal system: orthorhombic
calculated volume: 26.19 Å³ per atom

***

Record 18
This record from Alexandria describes a geometry-optimized NaInSi structure. The functional is PBE.

```
NaInSi
1.0
-5.845 -1.317 0.795
-0.690 -4.484 0.939
1.095 3.212 4.817
Na In Si
2 2 2
Direct
0.829 0.424 0.676
0.171 0.576 0.324
0.413 0.172 0.756
0.587 0.828 0.244
0.808 0.141 0.090
0.192 0.859 0.910
```

Output
ΔE_f (raw): -0.0078 eV/atom
magnetic moment: 0.00 μB per formula unit
crystal system: triclinic
calculated volume: 23.38 Å³ per atom

***

Record 19
This record from Alexandria describes a geometry-optimized NaInSi structure. The functional is PBE.

```
NaInSi
1.0
3.985 -2.301 0.000
0.000 4.602 0.000
0.000 0.000 7.401
In Na Si
2 2 2
Direct
0.333 0.667 0.212
0.333 0.667 0.788
0.667 0.333 0.500
0.667 0.333 0.000
0.000 0.000 0.328
0.000 0.000 0.672
```

Output
ΔE_f (raw): 0.0144 eV/atom
magnetic moment: 0.00 μB per formula unit
crystal system: hexagonal
calculated volume: 22.62 Å³ per atom

***

Record 20
This record from Alexandria describes a geometry-optimized NaInSi structure. The functional is PBE.

```
NaInSi
1.0
4.689 0.000 0.000
0.000 7.823 0.000
2.344 3.911 3.860
In Na Si
2 2 2
Direct
0.871 0.061 0.259
0.871 0.680 0.259
0.449 0.449 0.101
0.586 0.086 0.829
0.185 0.842 0.630
0.185 0.528 0.630
```

Output
ΔE_f (raw): 0.0219 eV/atom
magnetic moment: 0.00 μB per formula unit
crystal system: orthorhombic
calculated volume: 23.60 Å³ per atom

***

Record 21
This record from Alexandria describes a geometry-optimized NaInSi structure. The functional is PBE.

```
NaInSi
1.0
4.605 0.000 0.000
0.000 14.410 0.000
2.303 7.205 3.390
Na Si In
3 3 3
Direct
0.529 0.182 0.942
0.006 0.006 0.989
0.529 0.876 0.942
0.306 0.133 0.389
0.212 0.712 0.576
0.306 0.479 0.389
0.494 0.494 0.013
0.029 0.346 0.943
0.029 0.712 0.943
```

Output
ΔE_f (raw): 0.0901 eV/atom
magnetic moment: 0.00 μB per formula unit
crystal system: orthorhombic
calculated volume: 25.00 Å³ per atom

***

Record 22
This record from Alexandria describes a geometry-optimized NaInSi structure. The functional is PBE.

```
NaInSi
1.0
-0.608 0.098 4.460
-5.298 3.729 -0.804
-5.152 -3.962 -0.615
Si In Na
2 2 2
Direct
0.722 0.433 0.067
0.278 0.933 0.567
0.784 0.770 0.730
0.216 0.270 0.230
0.500 0.819 0.181
0.500 0.319 0.681
```

Output
ΔE_f (raw): 0.1383 eV/atom
magnetic moment: 0.00 μB per formula unit
crystal system: orthorhombic
calculated volume: 30.46 Å³ per atom

***

Record 23
This record from Alexandria describes a geometry-optimized NaInSi structure. The functional is PBE.

```
NaInSi
1.0
4.259 -2.459 0.000
0.000 4.918 0.000
0.000 0.000 3.144
In Si Na
1 1 1
Direct
0.000 0.000 0.000
0.333 0.667 0.000
0.667 0.333 0.500
```

Output
ΔE_f (raw): 0.1452 eV/atom
magnetic moment: 0.00 μB per formula unit
crystal system: hexagonal
calculated volume: 21.96 Å³ per atom

***

Record 24
This record from Alexandria describes a geometry-optimized NaInSi structure. The functional is PBE.

```
NaInSi
1.0
-6.071 4.534 8.125
-2.013 -10.112 4.138
-2.040 -2.615 7.530
Si In Na
4 4 4
Direct
0.000 0.604 0.000
0.396 0.000 0.000
0.000 0.396 0.000
0.604 0.000 0.000
0.803 0.197 0.000
0.803 0.803 0.000
0.197 0.803 0.000
0.197 0.197 0.000
0.728 0.500 0.000
0.272 0.500 0.000
0.500 0.728 0.000
0.500 0.272 0.000
```

Output
ΔE_f (raw): 0.1674 eV/atom
magnetic moment: 0.00 μB per formula unit
crystal system: tetragonal
calculated volume: 25.18 Å³ per atom

***

Record 25
This record from Alexandria describes a geometry-optimized NaInSi structure. The functional is PBE.

```
NaInSi
1.0
5.986 0.000 0.099
0.000 3.671 0.000
2.180 0.000 6.922
Si Na In
2 2 2
Direct
0.034 0.500 0.128
0.290 0.000 0.135
0.497 0.500 0.376
0.683 0.500 0.887
0.920 0.000 0.484
0.223 0.000 0.773
```

Output
ΔE_f (raw): 0.0542 eV/atom
magnetic moment: 0.00 μB per formula unit
crystal system: monoclinic
calculated volume: 25.22 Å³ per atom

***

Record 26
This record from Alexandria describes a geometry-optimized NaInSi structure. The functional is PBE.

```
NaInSi
1.0
-5.824 1.217 -2.748
2.510 -1.327 -5.907
-1.853 -7.066 0.800
In Si Na
4 4 4
Direct
0.715 0.715 0.375
0.715 0.285 0.125
0.285 0.285 0.875
0.285 0.715 0.625
0.325 0.500 0.250
0.675 0.500 0.750
0.500 0.325 0.500
0.500 0.675 0.000
0.319 0.000 0.250
0.000 0.319 0.500
0.000 0.681 0.000
0.681 0.000 0.750
```

Output
ΔE_f (raw): 0.1459 eV/atom
magnetic moment: 0.00 μB per formula unit
crystal system: tetragonal
calculated volume: 26.30 Å³ per atom